## CdIr2W (GGA-PBE)

Data for a geometry-optimized CdIr2W structure.

Cell: 9.3493 9.3493 9.3493 Å, 17.55 17.55 17.55°
Closest atoms and distances in Å follow each position.
Element x y z (fractional)
Ir  0.5064  0.5064  0.5064  3 W 2.69, 6 Ir 2.85, 3 Cd 2.97
Ir  0.9936  0.9936  0.9936  3 W 2.69, 6 Ir 2.85, 3 Cd 2.97
W  0.2500  0.2500  0.2500  6 Ir 2.69, 6 W 2.85
Cd  0.7500  0.7500  0.7500  6 Cd 2.85, 6 Ir 2.97

Results
Its formation energy is -0.036 eV per atom. The density of states at the Fermi level is 3.53 states/eV per cell. The value obtained for the total magnetization is 0.0 μB per formula unit. Its crystal system is trigonal.